[1]
# HfZr6Co2 (PBE, optimized geometry)
# DOS(E_F) = 24.3 states/eV/cell
# Space-group type = No. 71
# E_form = -0.97 eV per formula unit
data_HfZr6Co2
_chemical_formula_sum 'Hf2 Zr12 Co4'
_cell_length_a 7.821
_cell_length_b 7.821
_cell_length_c 7.821
_cell_angle_alpha 115.90
_cell_angle_beta 107.01
_cell_angle_gamma 105.70
_space_group_name_H-M_alt 'P 1'
_space_group_IT_number 1
_space_group_name_Hall 'P 1'
loop_
_atom_site_label
_atom_site_type_symbol
_atom_site_fract_x
_atom_site_fract_y
_atom_site_fract_z
_atom_site_occupancy
Hf1 Hf 0.000 0.000 0.000 1
Hf2 Hf 0.500 0.500 0.000 1
Zr1 Zr 0.017 0.230 0.787 1
Zr2 Zr 0.200 0.301 0.501 1
Zr3 Zr 0.200 0.699 0.899 1
Zr4 Zr 0.312 0.017 0.704 1
Zr5 Zr 0.312 0.608 0.296 1
Zr6 Zr 0.443 0.230 0.213 1
Zr7 Zr 0.557 0.770 0.787 1
Zr8 Zr 0.688 0.392 0.704 1
Zr9 Zr 0.688 0.983 0.296 1
Zr10 Zr 0.800 0.301 0.101 1
Zr11 Zr 0.800 0.699 0.499 1
Zr12 Zr 0.983 0.770 0.213 1
Co1 Co 0.124 0.624 0.500 1
Co2 Co 0.356 0.000 0.356 1
Co3 Co 0.644 0.000 0.644 1
Co4 Co 0.876 0.376 0.500 1


[2]
# HfZrCo3 (PBE, optimized geometry)
# DOS(E_F) = 8.9 states/eV/cell
# Space-group type = No. 221
# E_form = 4.31 eV per formula unit
data_HfZrCo3
_chemical_formula_sum 'Hf1 Zr1 Co3'
_cell_length_a 4.458
_cell_length_b 4.458
_cell_length_c 4.458
_cell_angle_alpha 90.00
_cell_angle_beta 90.00
_cell_angle_gamma 90.00
_space_group_name_H-M_alt 'P 1'
_space_group_IT_number 1
_space_group_name_Hall 'P 1'
loop_
_atom_site_label
_atom_site_type_symbol
_atom_site_fract_x
_atom_site_fract_y
_atom_site_fract_z
_atom_site_occupancy
Hf1 Hf 0.000 0.000 0.000 1
Zr1 Zr 0.500 0.500 0.500 1
Co1 Co 0.000 0.000 0.500 1
Co2 Co 0.000 0.500 0.000 1
Co3 Co 0.500 0.000 0.000 1


[3]
# HfZr4Co2 (PBE, optimized geometry)
# DOS(E_F) = 20.3 states/eV/cell
# Space-group type = No. 11
# E_form = -0.74 eV per formula unit
data_HfZr4Co2
_chemical_formula_sum 'Hf2 Zr8 Co4'
_cell_length_a 5.433
_cell_length_b 5.675
_cell_length_c 8.700
_cell_angle_alpha 90.00
_cell_angle_beta 90.26
_cell_angle_gamma 90.00
_space_group_name_H-M_alt 'P 1'
_space_group_IT_number 1
_space_group_name_Hall 'P 1'
loop_
_atom_site_label
_atom_site_type_symbol
_atom_site_fract_x
_atom_site_fract_y
_atom_site_fract_z
_atom_site_occupancy
Hf1 Hf 0.142 0.250 0.436 1
Hf2 Hf 0.858 0.750 0.564 1
Zr1 Zr 0.144 0.750 0.250 1
Zr2 Zr 0.145 0.250 0.066 1
Zr3 Zr 0.347 0.505 0.749 1
Zr4 Zr 0.347 0.995 0.749 1
Zr5 Zr 0.653 0.005 0.251 1
Zr6 Zr 0.653 0.495 0.251 1
Zr7 Zr 0.855 0.750 0.934 1
Zr8 Zr 0.856 0.250 0.750 1
Co1 Co 0.385 0.750 0.489 1
Co2 Co 0.390 0.750 0.013 1
Co3 Co 0.610 0.250 0.987 1
Co4 Co 0.615 0.250 0.511 1


[4]
# Hf4ZrCo5 (PBE, optimized geometry)
# DOS(E_F) = 9.6 states/eV/cell
# Space-group type = No. 123
# E_form = -3.68 eV per formula unit
data_Hf4ZrCo5
_chemical_formula_sum 'Hf4 Zr1 Co5'
_cell_length_a 3.141
_cell_length_b 3.141
_cell_length_c 15.952
_cell_angle_alpha 90.00
_cell_angle_beta 90.00
_cell_angle_gamma 90.00
_space_group_name_H-M_alt 'P 1'
_space_group_IT_number 1
_space_group_name_Hall 'P 1'
loop_
_atom_site_label
_atom_site_type_symbol
_atom_site_fract_x
_atom_site_fract_y
_atom_site_fract_z
_atom_site_occupancy
Hf1 Hf 0.000 0.000 0.100 1
Hf2 Hf 0.000 0.000 0.299 1
Hf3 Hf 0.000 0.000 0.701 1
Hf4 Hf 0.000 0.000 0.900 1
Zr1 Zr 0.000 0.000 0.500 1
Co1 Co 0.500 0.500 0.000 1
Co2 Co 0.500 0.500 0.198 1
Co3 Co 0.500 0.500 0.393 1
Co4 Co 0.500 0.500 0.607 1
Co5 Co 0.500 0.500 0.802 1


[5]
# Hf2ZrCo3 (PBE, optimized geometry)
# DOS(E_F) = 12.9 states/eV/cell
# Space-group type = No. 59
# E_form = -2.11 eV per formula unit
data_Hf2ZrCo3
_chemical_formula_sum 'Hf4 Zr2 Co6'
_cell_length_a 4.474
_cell_length_b 13.498
_cell_length_c 3.135
_cell_angle_alpha 90.00
_cell_angle_beta 90.00
_cell_angle_gamma 90.00
_space_group_name_H-M_alt 'P 1'
_space_group_IT_number 1
_space_group_name_Hall 'P 1'
loop_
_atom_site_label
_atom_site_type_symbol
_atom_site_fract_x
_atom_site_fract_y
_atom_site_fract_z
_atom_site_occupancy
Hf1 Hf 0.250 0.083 0.000 1
Hf2 Hf 0.250 0.417 0.000 1
Hf3 Hf 0.750 0.583 0.000 1
Hf4 Hf 0.750 0.917 0.000 1
Zr1 Zr 0.250 0.750 0.001 1
Zr2 Zr 0.750 0.250 0.999 1
Co1 Co 0.250 0.250 0.499 1
Co2 Co 0.250 0.578 0.500 1
Co3 Co 0.250 0.922 0.500 1
Co4 Co 0.750 0.078 0.500 1
Co5 Co 0.750 0.422 0.500 1
Co6 Co 0.750 0.750 0.501 1


[6]
# Hf3Zr3Co4 (PBE, optimized geometry)
# DOS(E_F) = 11.6 states/eV/cell
# Space-group type = No. 38
# E_form = -2.54 eV per formula unit
data_Hf3Zr3Co4
_chemical_formula_sum 'Hf3 Zr3 Co4'
_cell_length_a 3.389
_cell_length_b 7.153
_cell_length_c 7.153
_cell_angle_alpha 90.64
_cell_angle_beta 90.00
_cell_angle_gamma 90.00
_space_group_name_H-M_alt 'P 1'
_space_group_IT_number 1
_space_group_name_Hall 'P 1'
loop_
_atom_site_label
_atom_site_type_symbol
_atom_site_fract_x
_atom_site_fract_y
_atom_site_fract_z
_atom_site_occupancy
Hf1 Hf 0.000 0.000 0.000 1
Hf2 Hf 0.500 0.170 0.669 1
Hf3 Hf 0.500 0.669 0.170 1
Zr1 Zr 0.000 0.333 0.333 1
Zr2 Zr 0.000 0.504 0.837 1
Zr3 Zr 0.000 0.837 0.504 1
Co1 Co 0.500 0.037 0.291 1
Co2 Co 0.500 0.291 0.037 1
Co3 Co 0.500 0.540 0.540 1
Co4 Co 0.500 0.797 0.797 1


Number 1: E -152.8 eV for the cell shown, V 364.7 Å³ per cell. Number 2: E -35.5 eV for the cell shown, V 88.6 Å³ per cell. Number 3: E -118.2 eV for the cell shown, V 268.2 Å³ per cell. Number 4: E -87.6 eV for the cell shown, V 157.4 Å³ per cell. Number 5: E -103.8 eV for the cell shown, V 189.3 Å³ per cell. Number 6: E -86.5 eV for the cell shown, V 173.4 Å³ per cell.